<a>
SrCoRu2 (PBEsol, relaxed); SG = F-43m, No. 216; density = 9.02 Mg/m³; DOS(E_F) = 4.826 states/eV/cell
1.0
4.494 0.000 0.000
2.247 3.892 0.000
2.247 1.297 3.669
Co Ru Sr
1 2 1
direct
0.500 0.500 0.500
0.000 0.000 0.000
0.750 0.750 0.750
0.250 0.250 0.250


<b>
SrCoRu2 (PBEsol, relaxed); SG = P4/mmm, No. 123; density = 9.10 Mg/m³; DOS(E_F) = 5.697 states/eV/cell
1.0
2.845 0.000 0.000
0.000 2.845 0.000
0.000 0.000 7.859
Co Ru Sr
1 2 1
direct
0.500 0.500 0.500
0.000 0.000 0.683
0.000 0.000 0.317
0.500 0.500 0.000


Verdict on stability: <b> comes out on top.


<a>
SrCo2Ru (PBEsol, relaxed); SG = Fm-3m, No. 225; density = 8.18 Mg/m³; DOS(E_F) = 1.739 states/eV/cell
1.0
4.449 0.000 0.000
2.224 3.853 0.000
2.224 1.284 3.632
Ru Co Sr
1 2 1
direct
0.000 0.000 0.000
0.250 0.250 0.250
0.750 0.750 0.750
0.500 0.500 0.500


<b>
SrCo2Ru (PBEsol, relaxed); SG = P4/mmm, No. 123; density = 8.31 Mg/m³; DOS(E_F) = 3.608 states/eV/cell
1.0
-2.302 1.390 -1.357
-2.874 -1.963 2.867
0.439 3.486 2.827
Ru Co Sr
1 2 1
direct
0.500 0.500 0.500
0.000 0.000 0.500
0.000 0.500 0.000
0.500 0.000 0.000


Verdict on stability: <a> comes out on top.


<a>
SrCo2Ru (PBEsol, relaxed); SG = F-43m, No. 216; density = 8.30 Mg/m³; DOS(E_F) = 3.409 states/eV/cell
1.0
-1.295 -3.327 -2.618
-0.312 -4.105 1.628
-3.978 -1.854 0.581
Ru Co Sr
1 2 1
direct
0.500 0.500 0.500
0.000 0.000 0.000
0.250 0.250 0.250
0.750 0.750 0.750


<b>
SrCo2Ru (PBEsol, relaxed); SG = R-3m, No. 166; density = 6.71 Mg/m³; DOS(E_F) = 5.050 states/eV/cell
1.0
4.081 0.000 0.000
2.040 3.534 0.000
2.040 1.178 5.258
Ru Co Sr
1 2 1
direct
0.000 0.000 0.000
0.689 0.689 0.934
0.311 0.311 0.066
0.500 0.500 0.500


Verdict on stability: <b> comes out on top.


<a>
TlCoRu2 (PBEsol, relaxed); SG = R-3m, No. 166; density = 13.09 Mg/m³; DOS(E_F) = 4.868 states/eV/cell
1.0
-1.170 -0.240 2.551
1.633 -0.147 2.290
-0.064 8.435 2.319
Co Ru Tl
1 2 1
direct
0.000 0.000 0.000
0.259 0.259 0.223
0.741 0.741 0.777
0.500 0.500 0.500


<b>
TlCoRu2 (PBEsol, relaxed); SG = C2/m, No. 12; density = 12.99 Mg/m³; DOS(E_F) = 6.071 states/eV/cell
1.0
-1.224 2.461 0.387
-3.057 -2.206 2.818
4.861 0.664 1.968
Co Ru Tl
1 2 1
direct
0.000 0.500 0.000
0.000 0.000 0.500
0.500 0.500 0.500
0.500 0.000 0.000


Verdict on stability: <a> comes out on top.


<a>
Co2RuW (PBEsol, relaxed); SG = C2/m, No. 12; density = 13.40 Mg/m³; DOS(E_F) = 5.168 states/eV/cell
1.0
-0.066 2.644 0.158
-3.985 -1.339 -1.483
-0.661 -0.283 4.448
Ru Co W
1 2 1
direct
0.500 0.000 0.000
0.752 0.505 0.757
0.248 0.495 0.243
0.000 0.000 0.500


<b>
Co2RuW (PBEsol, relaxed); SG = Pmm2, No. 25; density = 13.79 Mg/m³; DOS(E_F) = 3.930 states/eV/cell
1.0
2.617 0.000 0.000
0.000 4.134 0.000
0.000 0.000 4.481
Ru Co W
1 2 1
direct
0.500 0.000 0.557
0.000 0.000 0.028
0.000 0.500 0.710
0.500 0.500 0.205


<c>
Co2RuW (PBEsol, relaxed); SG = P4/mmm, No. 123; density = 13.80 Mg/m³; DOS(E_F) = 3.405 states/eV/cell
1.0
3.640 0.000 0.000
0.000 3.640 0.000
0.000 0.000 3.657
Ru Co W
1 2 1
direct
0.500 0.500 0.500
0.000 0.500 0.000
0.500 0.000 0.000
0.000 0.000 0.500


Verdict on stability: <c> comes out on top.


<a>
YCo2Ru (PBEsol, relaxed); SG = Pmmm, No. 47; density = 8.73 Mg/m³; DOS(E_F) = 4.948 states/eV/cell
1.0
-0.692 3.174 -0.182
-3.942 -0.920 -1.060
-1.115 -0.005 4.154
Y Ru Co
1 1 2
direct
0.000 0.500 0.500
0.500 0.500 0.000
0.000 0.000 0.000
0.500 0.000 0.500


<b>
YCo2Ru (PBEsol, relaxed); SG = F-43m, No. 216; density = 8.74 Mg/m³; DOS(E_F) = 6.464 states/eV/cell
1.0
4.357 0.000 0.000
2.179 3.773 0.000
2.179 1.258 3.558
Y Ru Co
1 1 2
direct
0.250 0.250 0.250
0.500 0.500 0.500
0.000 0.000 0.000
0.750 0.750 0.750


Verdict on stability: <a> comes out on top.